Record 1
## Y2FeB2Rh5 (GGA-PBE)

Data for an optimized crystal structure of Y2FeB2Rh5.

Cell: 9.500 9.500 3.191 Å, 90.00 90.00 90.00°
Fractional positions:
Y 0.176 0.324 0.000
Y 0.324 0.824 0.000
Y 0.676 0.176 0.000
Y 0.824 0.676 0.000
Fe 0.000 0.000 0.000
Fe 0.500 0.500 0.000
B 0.123 0.623 0.000
B 0.377 0.123 0.000
B 0.623 0.877 0.000
B 0.877 0.377 0.000
Rh 0.000 0.500 0.500
Rh 0.069 0.781 0.500
Rh 0.219 0.069 0.500
Rh 0.281 0.569 0.500
Rh 0.431 0.281 0.500
Rh 0.500 0.000 0.500
Rh 0.569 0.719 0.500
Rh 0.719 0.431 0.500
Rh 0.781 0.931 0.500
Rh 0.931 0.219 0.500

D(E_F)	8.50	states/eV/cell
space-group type	P4/mbm, No. 127
DFT formation energy	-634.6	meV/atom

---

Record 2
## Zn2FeB2Rh5 (GGA-PBE)

Data for an optimized crystal structure of Zn2FeB2Rh5.

Cell: 9.371 9.371 2.874 Å, 90.00 90.00 90.00°
Fractional positions:
Zn 0.177 0.323 0.000
Zn 0.323 0.823 0.000
Zn 0.677 0.177 0.000
Zn 0.823 0.677 0.000
Fe 0.000 0.000 0.000
Fe 0.500 0.500 0.000
B 0.127 0.627 0.000
B 0.373 0.127 0.000
B 0.627 0.873 0.000
B 0.873 0.373 0.000
Rh 0.000 0.500 0.500
Rh 0.072 0.786 0.500
Rh 0.214 0.072 0.500
Rh 0.286 0.572 0.500
Rh 0.428 0.286 0.500
Rh 0.500 0.000 0.500
Rh 0.572 0.714 0.500
Rh 0.714 0.428 0.500
Rh 0.786 0.928 0.500
Rh 0.928 0.214 0.500

D(E_F)	7.55	states/eV/cell
space-group type	P4/mbm, No. 127
DFT formation energy	-313.7	meV/atom

---

Record 3
## ZrFe2BRh (GGA-PBE)

Data for an optimized crystal structure of ZrFe2BRh.

Cell: 3.949 3.949 4.105 Å, 90.00 90.00 90.00°
Fractional positions:
Zr 0.000 0.000 0.000
Fe 0.000 0.500 0.500
Fe 0.500 0.000 0.500
B 0.500 0.500 0.500
Rh 0.500 0.500 0.000

D(E_F)	3.77	states/eV/cell
space-group type	P4/mmm, No. 123
DFT formation energy	-381.4	meV/atom

---

Record 4
## FeBRu2 (GGA-PBE)

Data for an optimized crystal structure of FeBRu2.

Cell: 4.971 4.971 9.605 Å, 90.00 90.00 90.00°
Fractional positions:
Fe 0.000 0.000 0.000
Fe 0.000 0.500 0.250
Fe 0.500 0.000 0.750
Fe 0.500 0.500 0.500
B 0.000 0.000 0.500
B 0.000 0.500 0.750
B 0.500 0.000 0.250
B 0.500 0.500 0.000
Ru 0.212 0.250 0.625
Ru 0.250 0.712 0.875
Ru 0.250 0.788 0.375
Ru 0.288 0.250 0.125
Ru 0.712 0.750 0.125
Ru 0.750 0.212 0.375
Ru 0.750 0.288 0.875
Ru 0.788 0.750 0.625

D(E_F)	12.89	states/eV/cell
space-group type	I-42d, No. 122
DFT formation energy	784.8	meV/atom

---

Record 5
## Fe2B2Ru (GGA-PBE)

Data for an optimized crystal structure of Fe2B2Ru.

Cell: 5.732 5.732 2.849 Å, 90.00 90.00 90.00°
Fractional positions:
Fe 0.163 0.337 0.000
Fe 0.337 0.837 0.000
Fe 0.663 0.163 0.000
Fe 0.837 0.663 0.000
B 0.117 0.617 0.500
B 0.383 0.117 0.500
B 0.617 0.883 0.500
B 0.883 0.383 0.500
Ru 0.000 0.000 0.500
Ru 0.500 0.500 0.500

D(E_F)	7.61	states/eV/cell
space-group type	P4/mbm, No. 127
DFT formation energy	-161.1	meV/atom

---

Record 6
## FeBRu3 (GGA-PBE)

Data for an optimized crystal structure of FeBRu3.

Cell: 4.346 4.346 4.346 Å, 90.00 90.00 90.00°
Fractional positions:
Fe 0.000 0.000 0.000
B 0.500 0.500 0.500
Ru 0.000 0.000 0.500
Ru 0.000 0.500 0.000
Ru 0.500 0.000 0.000

D(E_F)	9.03	states/eV/cell
space-group type	Pm-3m, No. 221
DFT formation energy	2137.6	meV/atom

---

Record 7
## FeBRu2 (GGA-PBE)

Data for an optimized crystal structure of FeBRu2.

Cell: 2.816 2.816 20.930 Å, 90.00 90.00 120.00°
Fractional positions:
Fe 0.000 0.000 0.000
Fe 0.333 0.667 0.667
Fe 0.667 0.333 0.333
B 0.000 0.000 0.165
B 0.333 0.667 0.832
B 0.667 0.333 0.498
Ru 0.000 0.000 0.565
Ru 0.000 0.000 0.767
Ru 0.333 0.667 0.232
Ru 0.333 0.667 0.433
Ru 0.667 0.333 0.100
Ru 0.667 0.333 0.898

D(E_F)	17.68	states/eV/cell
space-group type	R3m, No. 160
DFT formation energy	86.0	meV/atom

---

Record 8
## FeBRu2 (GGA-PBE)

Data for an optimized crystal structure of FeBRu2.

Cell: 2.729 2.729 6.077 Å, 90.00 90.00 90.00°
Fractional positions:
Fe 0.000 0.000 0.000
B 0.000 0.000 0.500
Ru 0.500 0.500 0.288
Ru 0.500 0.500 0.712

D(E_F)	4.33	states/eV/cell
space-group type	P4/mmm, No. 123
DFT formation energy	27.9	meV/atom

---

Record 9
## FeBRu3 (GGA-PBE)

Data for an optimized crystal structure of FeBRu3.

Cell: 3.997 3.997 3.997 Å, 90.00 90.00 90.00°
Fractional positions:
Fe 0.000 0.000 0.000
B 0.500 0.500 0.500
Ru 0.000 0.500 0.500
Ru 0.500 0.000 0.500
Ru 0.500 0.500 0.000

D(E_F)	7.32	states/eV/cell
space-group type	Pm-3m, No. 221
DFT formation energy	384.8	meV/atom

---

Record 10
## Fe2BRu (GGA-PBE)

Data for an optimized crystal structure of Fe2BRu.

Cell: 3.244 3.244 17.027 Å, 90.00 90.00 90.00°
Fractional positions:
Fe 0.229 0.250 0.125
Fe 0.250 0.729 0.375
Fe 0.250 0.771 0.875
Fe 0.271 0.250 0.625
Fe 0.729 0.750 0.625
Fe 0.750 0.229 0.875
Fe 0.750 0.271 0.375
Fe 0.771 0.750 0.125
B 0.000 0.000 0.000
B 0.000 0.500 0.250
B 0.500 0.000 0.750
B 0.500 0.500 0.500
Ru 0.000 0.000 0.500
Ru 0.000 0.500 0.750
Ru 0.500 0.000 0.250
Ru 0.500 0.500 0.000

D(E_F)	12.83	states/eV/cell
space-group type	I-42d, No. 122
DFT formation energy	502.8	meV/atom

---

Record 11
## FeBSb2Ru (GGA-PBE)

Data for an optimized crystal structure of FeBSb2Ru.

Cell: 4.714 4.714 3.725 Å, 90.00 90.00 90.00°
Fractional positions:
Fe 0.000 0.000 0.000
B 0.000 0.000 0.500
Sb 0.000 0.500 0.500
Sb 0.500 0.000 0.500
Ru 0.500 0.500 0.000

D(E_F)	4.98	states/eV/cell
space-group type	P4/mmm, No. 123
formation energy without anion corrections	0.72	eV per atom

---

Record 12
## Sc2FeB2Ru5 (GGA-PBE)

Data for an optimized crystal structure of Sc2FeB2Ru5.

Cell: 9.327 9.327 3.017 Å, 90.00 90.00 90.00°
Fractional positions:
Sc 0.175 0.325 0.000
Sc 0.325 0.825 0.000
Sc 0.675 0.175 0.000
Sc 0.825 0.675 0.000
Fe 0.000 0.000 0.000
Fe 0.500 0.500 0.000
B 0.124 0.624 0.000
B 0.376 0.124 0.000
B 0.624 0.876 0.000
B 0.876 0.376 0.000
Ru 0.000 0.500 0.500
Ru 0.071 0.788 0.500
Ru 0.212 0.071 0.500
Ru 0.288 0.571 0.500
Ru 0.429 0.288 0.500
Ru 0.500 0.000 0.500
Ru 0.571 0.712 0.500
Ru 0.712 0.429 0.500
Ru 0.788 0.929 0.500
Ru 0.929 0.212 0.500

D(E_F)	14.44	states/eV/cell
space-group type	P4/mbm, No. 127
DFT formation energy	-472.0	meV/atom